This record from the Alexandria database describes crystalline LiMgP2O at its relaxed geometry. The functional is PBE.

Results
formation energy without anion corrections: 139 meV per atom
total energy: -3.719 eV per atom
space-group type: P4/mmm (123)
total moment: 0.698 μB per formula unit
energy above the lowest structure with this stoichiometry: 0.0000 eV per atom

Unit cell a=5.075 b=5.075 c=3.669 alpha=90.00 beta=90.00 gamma=90.00
Fractional coordinates of all 5 atoms:
Li 0.000 0.000 0.000
Mg 0.500 0.500 0.500
P 0.000 0.500 0.500
P 0.500 0.000 0.500
O 0.500 0.500 0.000